No. 1
Ca2PH | PBE | relaxed

Structure (POSCAR):
```
Ca2PH
1.0
4.770 0.000 0.000
0.000 4.770 0.000
0.000 0.000 3.474
Ca P H
2 1 1
Direct
0.000 0.500 0.000
0.500 0.000 0.000
0.000 0.000 0.500
0.500 0.500 0.500
```

Results
E above lowest polymorph: 288.6 meV/atom
Volume: 79 Å³ per cell

No. 2
Mg2P3Pt9 | PBE | relaxed

Structure (POSCAR):
```
Mg2P3Pt9
1.0
6.497 -4.102 0.000
6.497 4.102 0.000
-4.121 0.000 8.217
Mg P Pt
4 6 18
Direct
0.087 0.263 0.261
0.263 0.087 0.761
0.737 0.913 0.239
0.913 0.737 0.739
0.000 0.500 0.000
0.122 0.717 0.509
0.283 0.878 0.991
0.500 0.000 0.500
0.717 0.122 0.009
0.878 0.283 0.491
0.013 0.854 0.068
0.146 0.987 0.432
0.163 0.372 0.593
0.214 0.565 0.264
0.287 0.476 0.947
0.350 0.650 0.750
0.372 0.163 0.093
0.435 0.786 0.236
0.476 0.287 0.447
0.524 0.713 0.553
0.565 0.214 0.764
0.628 0.837 0.907
0.650 0.350 0.250
0.713 0.524 0.053
0.786 0.435 0.736
0.837 0.628 0.407
0.854 0.013 0.568
0.987 0.146 0.932
```

Results
Volume: 438 Å³ per cell
Energy relative to the elements: -508.3 meV/atom